(1)
Density functional theory data (PBE-GGA) for crystalline CrCo2Tc at its relaxed geometry.

Calculated values
The calculation puts the calculated total energy at -0.3109 Ha/atom. The magnetic moment is 0.0 μB per formula unit.

Lattice parameters (Å, degrees): 8.3533 2.5482 4.4853 90.00 99.25 90.00
Space group Cm (No. 8)
Asymmetric unit:
Cr  0.0000  0.0000  0.0000 x2
Co  0.2414  0.5000  0.2041 x2
Co  0.4913  0.0000  0.4660 x2
Tc  0.2416  0.0000  0.7008 x2

(2)
Density functional theory data (PBE-GGA) for crystalline CrCoTc at its relaxed geometry.

Calculated values
The calculation puts the calculated total energy at -0.3094 Ha/atom. The magnetic moment is 0.9 μB per formula unit.

Lattice parameters (Å, degrees): 5.5426 5.5426 5.5426 90.00 90.00 90.00
Space group F-43m (No. 216)
Asymmetric unit:
Cr  0.0000  0.0000  0.0000 x4
Co  0.2500  0.2500  0.7500 x4
Tc  0.2500  0.2500  0.2500 x4

(3)
Density functional theory data (PBE-GGA) for crystalline CrCo2Tc at its relaxed geometry.

Calculated values
The calculation puts the calculated total energy at -0.3086 Ha/atom. The magnetic moment is 1.5 μB per formula unit.

Lattice parameters (Å, degrees): 8.5228 2.5806 4.4005 90.00 100.54 90.00
Space group C2/m (No. 12)
Asymmetric unit:
Cr  0.0000  0.0000  0.0000 x2
Co  0.2468  0.5000  0.2422 x4
Tc  0.0000  0.5000  0.5000 x2

(4)
Density functional theory data (PBE-GGA) for crystalline CrCo2Tc at its relaxed geometry.

Calculated values
The calculation puts the calculated total energy at -0.3123 Ha/atom. The magnetic moment is 0.2 μB per formula unit.

Lattice parameters (Å, degrees): 5.0482 7.3227 2.5359 90.00 90.00 90.00
Space group Cmmm (No. 65)
Asymmetric unit:
Cr  0.0000  0.0000  0.0000 x2
Co  0.2500  0.2500  0.5000 x4
Tc  0.0000  0.5000  0.0000 x2

(5)
Density functional theory data (PBE-GGA) for crystalline CrCoTc at its relaxed geometry.

Calculated values
The calculation puts the calculated total energy at -0.3270 Ha/atom. The magnetic moment is 0.0 μB per formula unit.

Lattice parameters (Å, degrees): 2.5753 2.5753 11.0974 90.00 90.00 90.00
Space group I4mm (No. 107)
Asymmetric unit:
Cr  0.0000  0.0000  0.0000 x2
Co  0.0000  0.0000  0.6502 x2
Tc  0.0000  0.0000  0.3181 x2

(6)
Density functional theory data (PBE-GGA) for crystalline CrCo2Tc at its relaxed geometry.

Calculated values
The calculation puts the calculated total energy at -0.3060 Ha/atom. The magnetic moment is 6.0 μB per formula unit.

Lattice parameters (Å, degrees): 5.8369 5.8369 5.8369 90.00 90.00 90.00
Space group Fm-3m (No. 225)
Asymmetric unit:
Cr  0.0000  0.0000  0.0000 x4
Co  0.2500  0.2500  0.2500 x8
Tc  0.0000  0.0000  0.5000 x4

(7)
Density functional theory data (PBE-GGA) for crystalline CrCo2Tc at its relaxed geometry.

Calculated values
The calculation puts the calculated total energy at -0.3074 Ha/atom. The magnetic moment is 0.0 μB per formula unit.

Lattice parameters (Å, degrees): 2.5754 2.5754 24.8061 90.00 90.00 120.00
Space group R-3m (No. 166, hexagonal axes)
Asymmetric unit:
Cr  0.0000  0.0000  0.0000 x3
Co  0.0000  0.0000  0.2531 x6
Tc  0.0000  0.0000  0.5000 x3

(8)
Density functional theory data (PBE-GGA) for crystalline Cr2Co2Tc at its relaxed geometry.

Calculated values
The calculation puts the calculated total energy at -0.3162 Ha/atom. The magnetic moment is 0.0 μB per formula unit.

Lattice parameters (Å, degrees): 6.8672 6.8672 2.5081 90.00 90.00 90.00
Space group P4/mbm (No. 127)
Asymmetric unit:
Cr  0.1192  0.3808  0.0000 x4
Co  0.1752  0.6752  0.5000 x4
Tc  0.0000  0.0000  0.0000 x2

(9)
Density functional theory data (PBE-GGA) for crystalline CrCo2Tc at its relaxed geometry.

Calculated values
The calculation puts the calculated total energy at -0.3081 Ha/atom. The magnetic moment is 3.5 μB per formula unit.

Lattice parameters (Å, degrees): 2.9883 3.9558 8.1874 90.00 90.00 90.00
Space group Immm (No. 71)
Asymmetric unit:
Cr  0.0000  0.0000  0.0000 x2
Co  0.0000  0.5000  0.2602 x4
Tc  0.0000  0.0000  0.5000 x2

(10)
Density functional theory data (PBE-GGA) for crystalline Cr2Co2Tc at its relaxed geometry.

Calculated values
The calculation puts the calculated total energy at -0.3064 Ha/atom. The magnetic moment is 0.0 μB per formula unit.

Lattice parameters (Å, degrees): 3.4386 3.4386 10.4521 90.00 90.00 90.00
Space group I4/mmm (No. 139)
Asymmetric unit:
Cr  0.0000  0.5000  0.2500 x4
Co  0.0000  0.0000  0.1029 x4
Tc  0.0000  0.0000  0.5000 x2

(11)
Density functional theory data (PBE-GGA) for crystalline CrCo6Tc at its relaxed geometry.

Calculated values
The calculation puts the calculated total energy at -0.2871 Ha/atom. The magnetic moment is 3.1 μB per formula unit.

Lattice parameters (Å, degrees): 4.0309 5.0229 4.3773 90.00 90.00 90.00
Space group Pmm2 (No. 25)
Asymmetric unit:
Cr  0.0000  0.0000  0.0000 x1
Co  0.0000  0.2444  0.5007 x2
Co  0.0000  0.5000  0.0127 x1
Co  0.5000  0.0000  0.6703 x1
Co  0.5000  0.2470  0.1699 x2
Tc  0.5000  0.5000  0.6729 x1

(12)
Density functional theory data (PBE-GGA) for crystalline CrCo2Tc2 at its relaxed geometry.

Calculated values
The calculation puts the calculated total energy at -0.3184 Ha/atom. The magnetic moment is 0.0 μB per formula unit.

Lattice parameters (Å, degrees): 7.0070 7.0070 2.6029 90.00 90.00 90.00
Space group P4/mbm (No. 127)
Asymmetric unit:
Cr  0.0000  0.0000  0.0000 x2
Co  0.1192  0.3808  0.0000 x4
Tc  0.1775  0.6775  0.5000 x4